[1]
Entry from the Alexandria database: TlAgBiSb after structural relaxation (PBE).

Lattice parameters (Å, degrees): 5.396 5.396 5.396 60.00 60.00 60.00
Fractional positions:
Sb 0.500 0.500 0.500
Tl 0.000 0.000 0.000
Bi 0.750 0.750 0.750
Ag 0.250 0.250 0.250

- energy relative to the elements, uncorrected (eV/atom) = 0.205
- SG = F-43m

---

[2]
Entry from the Alexandria database: Cr3MoRh after structural relaxation (PBE).

Lattice parameters (Å, degrees): 4.409 4.409 4.409 90.00 90.00 90.00
Fractional positions:
Cr 0.000 0.500 0.000
Cr 0.000 0.000 0.500
Cr 0.500 0.000 0.000
Mo 0.500 0.500 0.500
Rh 0.000 0.000 0.000

- SG = Pm-3m
- ΔE_f (eV/atom) = 1.7509

---

[3]
Entry from the Alexandria database: Nb3Se2S after structural relaxation (PBE).

Lattice parameters (Å, degrees): 4.869 6.911 6.911 94.71 90.00 90.00
Fractional positions:
Nb 0.993 0.860 0.539
Nb 0.493 0.461 0.140
Nb 0.993 0.539 0.860
Nb 0.493 0.140 0.461
Nb 0.493 0.817 0.817
Nb 0.993 0.183 0.183
Se 0.493 0.766 0.437
Se 0.993 0.563 0.234
Se 0.493 0.437 0.766
Se 0.993 0.234 0.563
S 0.993 0.895 0.895
S 0.493 0.105 0.105

- energy relative to the elements, uncorrected (eV/atom) = -0.573
- SG = Cmcm

---

[4]
Entry from the Alexandria database: CaEu2Ti after structural relaxation (PBE).

Lattice parameters (Å, degrees): 3.569 3.569 11.899 81.38 81.38 60.00
Each line ends with the local moment (μB).
Fractional positions:
Eu 0.261 0.261 0.217  6.94
Eu 0.739 0.739 0.783  6.94
Ca 0.500 0.500 0.500  0.03
Ti 0.000 0.000 0.000  -0.56

- SG = R-3m
- ΔE_f (eV/atom) = 0.3677

---

| no. | calculated total energy (eV/atom) |
| --- | --- |
| 1 | -3.1005 |
| 2 | -7.6597 |
| 3 | -7.4577 |
| 4 | -7.2436 |